Entry from Alexandria: crystalline Tm5CdSi2 at its relaxed geometry (GGA-PBE).

Geometry as POSCAR:
```
Tm5CdSi2
1.0
-3.759 3.759 6.986
3.759 -3.759 6.986
3.759 3.759 -6.986
Tm Cd Si
10 2 4
Direct
0.000 0.000 0.000
0.028 0.528 0.835
0.194 0.028 0.500
0.306 0.806 0.835
0.472 0.306 0.500
0.500 0.500 0.000
0.528 0.694 0.500
0.694 0.194 0.165
0.806 0.972 0.500
0.972 0.472 0.165
0.250 0.250 0.000
0.750 0.750 0.000
0.130 0.370 0.500
0.370 0.870 0.240
0.630 0.130 0.760
0.870 0.630 0.500
```

Calculated values
density = 8.522 g/cm³
calculated volume = 24.7 Å³/atom
raw formation energy = -0.5256 eV per atom

***

Entry from Alexandria: crystalline Sm3Cd2Cu4 at its relaxed geometry (GGA-PBE).

Geometry as POSCAR:
```
Sm3Cd2Cu4
1.0
4.964 -2.187 0.000
4.964 2.187 0.000
-0.480 0.000 8.907
Sm Cd Cu
3 2 4
Direct
0.000 0.000 0.000
0.368 0.368 0.620
0.632 0.632 0.380
0.328 0.328 0.227
0.672 0.672 0.773
0.070 0.070 0.620
0.286 0.286 0.929
0.714 0.714 0.071
0.930 0.930 0.380
```

Calculated values
density = 7.986 g/cm³
calculated volume = 21.5 Å³/atom
calculated formation energy = -0.203 eV per atom

***

Entry from Alexandria: crystalline Pu2Ni9Sn at its relaxed geometry (GGA-PBE).

Geometry as POSCAR:
```
Pu2Ni9Sn
1.0
2.436 1.406 8.187
-2.436 1.406 8.187
0.000 -2.812 8.187
Pu Ni Sn
2 9 1
Direct
0.139 0.139 0.139
0.861 0.861 0.861
0.082 0.583 0.583
0.333 0.333 0.333
0.417 0.417 0.918
0.417 0.918 0.417
0.500 0.500 0.500
0.583 0.082 0.583
0.583 0.583 0.082
0.667 0.667 0.667
0.918 0.417 0.417
0.000 0.000 0.000
```

Calculated values
density = 11.202 g/cm³
calculated volume = 14.0 Å³/atom
calculated formation energy = -0.145 eV per atom

***

Entry from Alexandria: crystalline ZrTiZnRu at its relaxed geometry (GGA-PBE).

Geometry as POSCAR:
```
ZrTiZnRu
1.0
0.000 3.225 3.225
3.225 0.000 3.225
3.225 3.225 0.000
Zr Ti Zn Ru
1 1 1 1
Direct
0.000 0.000 0.000
0.500 0.500 0.500
0.750 0.750 0.750
0.250 0.250 0.250
```

Calculated values
density = 7.564 g/cm³
calculated volume = 16.8 Å³/atom
calculated formation energy = -0.340 eV per atom

***

Entry from Alexandria: crystalline TiHgIO2 at its relaxed geometry (GGA-PBE).

Geometry as POSCAR:
```
TiHgIO2
1.0
3.997 0.000 0.000
0.000 3.997 0.000
0.000 0.000 5.892
Ti Hg I O
1 1 1 2
Direct
0.000 0.000 0.000
0.500 0.500 0.500
0.000 0.000 0.500
0.000 0.500 0.000
0.500 0.000 0.000
```

Calculated values
density = 7.184 g/cm³
calculated volume = 18.8 Å³/atom
raw formation energy = -1.1868 eV per atom
distance to the lowest polymorph of the same formula = 0.00 eV/f.u.

***

Entry from Alexandria: crystalline TcOs3 at its relaxed geometry (GGA-PBE).

Geometry as POSCAR:
```
TcOs3
1.0
5.487 0.000 0.000
0.000 13.233 0.000
0.000 0.000 4.755
Tc Os
6 18
Direct
0.250 0.088 0.168
0.250 0.412 0.168
0.250 0.750 0.502
0.750 0.250 0.498
0.750 0.588 0.832
0.750 0.912 0.832
0.000 0.086 0.665
0.000 0.250 0.000
0.000 0.414 0.665
0.000 0.586 0.335
0.000 0.750 0.000
0.000 0.914 0.335
0.250 0.250 0.501
0.250 0.586 0.833
0.250 0.914 0.833
0.500 0.086 0.665
0.500 0.250 0.000
0.500 0.414 0.665
0.500 0.586 0.335
0.500 0.750 0.000
0.500 0.914 0.335
0.750 0.086 0.167
0.750 0.414 0.167
0.750 0.750 0.499
```

Calculated values
density = 19.295 g/cm³
calculated volume = 14.4 Å³/atom
calculated formation energy = 0.022 eV per atom
distance to the lowest polymorph of the same formula = 0.39 eV/f.u.

***

Entry from Alexandria: crystalline HfMgTlPd at its relaxed geometry (GGA-PBE).

Geometry as POSCAR:
```
HfMgTlPd
1.0
0.000 3.402 3.402
3.402 0.000 3.402
3.402 3.402 0.000
Hf Mg Tl Pd
1 1 1 1
Direct
0.000 0.000 0.000
0.500 0.500 0.500
0.750 0.750 0.750
0.250 0.250 0.250
```

Calculated values
density = 10.831 g/cm³
calculated volume = 19.7 Å³/atom
calculated formation energy = -0.251 eV per atom

***

Entry from Alexandria: crystalline Ba3Pm3DyTe8 at its relaxed geometry (GGA-PBE).

Geometry as POSCAR:
```
Ba3Pm3DyTe8
1.0
7.905 -4.566 0.000
7.905 4.566 0.000
-5.265 0.000 8.037
Ba Pm Dy Te
3 3 1 8
Direct
0.000 0.000 0.000
0.000 0.500 0.000
0.500 0.000 0.000
0.000 0.500 0.500
0.500 0.000 0.500
0.500 0.500 0.500
0.000 0.000 0.500
0.238 0.238 0.718
0.238 0.742 0.719
0.258 0.762 0.281
0.259 0.259 0.277
0.741 0.741 0.723
0.742 0.238 0.719
0.762 0.258 0.281
0.762 0.762 0.282
```

Calculated values
density = 5.812 g/cm³
calculated volume = 38.7 Å³/atom
raw formation energy = -1.5636 eV per atom